Arrangement w

# Pr6Y2Er

A relaxed Pr6Y2Er crystal (GGA-PBE, the Alexandria database).

a = 10.1203 Å, b = 10.1203 Å, c = 3.7029 Å
α = 90.00°, β = 90.00°, γ = 124.00°
Fractional coordinates of all 9 atoms:
Pr (0.0090, 0.3399, 0.0000)
Pr (0.1857, 0.1857, 0.5000)
Pr (0.3399, 0.0090, 0.0000)
Pr (0.6601, 0.9910, 0.0000)
Pr (0.8143, 0.8143, 0.5000)
Pr (0.9910, 0.6601, 0.0000)
Y (0.3255, 0.6745, 0.5000)
Y (0.6745, 0.3255, 0.5000)
Er (0.5000, 0.5000, 0.0000)

Arrangement x

# Pr6Y2Er

A relaxed Pr6Y2Er crystal (GGA-PBE, the Alexandria database).

a = 8.3647 Å, b = 8.3647 Å, c = 10.5569 Å
α = 90.00°, β = 90.00°, γ = 90.00°
Fractional coordinates of all 18 atoms:
Pr (0.2391, 0.2391, 0.1661)
Pr (0.2391, 0.2391, 0.8339)
Pr (0.2413, 0.2413, 0.5000)
Pr (0.2587, 0.7413, 0.0000)
Pr (0.2609, 0.7391, 0.3339)
Pr (0.2609, 0.7391, 0.6661)
Pr (0.7391, 0.2609, 0.3339)
Pr (0.7391, 0.2609, 0.6661)
Pr (0.7413, 0.2587, 0.0000)
Pr (0.7587, 0.7587, 0.5000)
Pr (0.7609, 0.7609, 0.1661)
Pr (0.7609, 0.7609, 0.8339)
Y (0.0000, 0.0000, 0.3329)
Y (0.0000, 0.0000, 0.6671)
Y (0.5000, 0.5000, 0.1671)
Y (0.5000, 0.5000, 0.8329)
Er (0.0000, 0.0000, 0.0000)
Er (0.5000, 0.5000, 0.5000)

Which of them is the most stable? Correct choice: arrangement w.

Arrangement w

# PrY3Er

A relaxed PrY3Er crystal (GGA-PBE, the Alexandria database).

a = 8.7877 Å, b = 8.7877 Å, c = 9.8114 Å
α = 95.15°, β = 95.15°, γ = 117.77°
Fractional coordinates of all 20 atoms:
Pr (0.1929, 0.2933, 0.0444)
Pr (0.2933, 0.1929, 0.5444)
Pr (0.7067, 0.8071, 0.4556)
Pr (0.8071, 0.7067, 0.9556)
Y (0.0196, 0.5774, 0.1874)
Y (0.1238, 0.7454, 0.5572)
Y (0.2546, 0.8762, 0.9428)
Y (0.2944, 0.5022, 0.3824)
Y (0.4226, 0.9804, 0.3126)
Y (0.4978, 0.7056, 0.1176)
Y (0.5022, 0.2944, 0.8824)
Y (0.5774, 0.0196, 0.6874)
Y (0.7056, 0.4978, 0.6176)
Y (0.7454, 0.1238, 0.0572)
Y (0.8762, 0.2546, 0.4428)
Y (0.9804, 0.4226, 0.8126)
Er (0.0174, 0.9826, 0.2500)
Er (0.4057, 0.5943, 0.7500)
Er (0.5943, 0.4057, 0.2500)
Er (0.9826, 0.0174, 0.7500)

Arrangement x

# PrY3Er

A relaxed PrY3Er crystal (GGA-PBE, the Alexandria database).

a = 6.3008 Å, b = 5.7291 Å, c = 9.6527 Å
α = 90.00°, β = 108.82°, γ = 90.00°
Fractional coordinates of all 10 atoms:
Pr (0.1328, 0.2500, 0.1022)
Pr (0.8672, 0.7500, 0.8978)
Y (0.0657, 0.7500, 0.3036)
Y (0.3312, 0.2500, 0.4999)
Y (0.4671, 0.7500, 0.1028)
Y (0.5329, 0.2500, 0.8972)
Y (0.6688, 0.7500, 0.5001)
Y (0.9343, 0.2500, 0.6964)
Er (0.2679, 0.7500, 0.6982)
Er (0.7321, 0.2500, 0.3018)

Which of them is the most stable? Correct choice: arrangement x.